# PaCr2BO6, relaxed, DFT PBE+U
data_PaCr2BO6
_chemical_formula_sum 'Pa1 Cr2 B1 O6'
_space_group_name_H-M_alt 'P 4 m m'
_space_group_IT_number 99
_space_group_name_Hall 'P 4 -2'
_cell_length_a 5.4111
_cell_length_b 5.4111
_cell_length_c 4.6216
_cell_angle_alpha 90.00
_cell_angle_beta 90.00
_cell_angle_gamma 90.00
loop_
_atom_site_label
_atom_site_type_symbol
_atom_site_fract_x
_atom_site_fract_y
_atom_site_fract_z
_atom_site_occupancy
Pa1 Pa 0.0000 0.0000 0.0000 1
Cr1 Cr 0.0000 0.5000 0.3217 1
B1 B 0.5000 0.5000 0.0084 1
O1 O 0.0000 0.0000 0.5629 1
O2 O 0.2726 0.2726 0.1575 1
O3 O 0.5000 0.5000 0.7283 1
# E_tot ... -80.2 eV per cell